Record 1
{
  "formula": "KPt2Se",
  "functional": "PBEsol",
  "state": "relaxed",
  "magmom_total_mub_per_cell": 0.000,
  "e_form_raw_ev_per_atom": 0.11,
  "total_energy_ev_per_atom": -4.61,
  "lattice_angstrom": [[2.7706, 0.0000, 0.0000], [0.0000, 5.0469, 0.0000], [-1.3853, -2.5235, 5.2629]],
  "species": ["K", "Pt", "Pt", "Se"],
  "frac_coords": [[0.0000, 0.5000, 0.0000], [0.7752, 0.7752, 0.5504], [0.2248, 0.2248, 0.4496], [0.5000, 0.0000, 0.0000]]
}

=====

Record 2
{
  "formula": "NaHfIN2",
  "functional": "PBEsol",
  "state": "relaxed",
  "magmom_total_mub_per_cell": 2.257,
  "e_form_raw_ev_per_atom": 1.76,
  "total_energy_ev_per_atom": -4.38,
  "lattice_angstrom": [[-0.3971, 1.8551, -3.7902], [-4.2184, -0.2748, 0.3075], [-0.1302, 4.4519, 2.1927]],
  "species": ["I", "Na", "Hf", "N", "N"],
  "frac_coords": [[0.0000, 0.0000, 0.5000], [0.0000, 0.0000, 0.0000], [0.5000, 0.5000, 0.5000], [0.0000, 0.5000, 0.0000], [0.5000, 0.0000, 0.0000]]
}

=====

Record 3
{
  "formula": "LaFeW2",
  "functional": "PBEsol",
  "state": "relaxed",
  "magmom_total_mub_per_cell": 0.574,
  "formation_energy_ev_per_atom": 0.872,
  "total_energy_ev_per_atom": -9.61,
  "lattice_angstrom": [[4.5021, 0.0000, 0.0000], [2.2510, 3.8989, 0.0000], [2.2510, 1.2996, 3.6759]],
  "species": ["Fe", "La", "W", "W"],
  "frac_coords": [[0.0000, 0.0000, 0.0000], [0.5000, 0.5000, 0.5000], [0.7500, 0.7500, 0.7500], [0.2500, 0.2500, 0.2500]]
}

=====

Record 4
{
  "formula": "Ta7Mo",
  "functional": "PBEsol",
  "state": "relaxed",
  "magmom_total_mub_per_cell": 0.000,
  "formation_energy_ev_per_atom": -0.029,
  "total_energy_ev_per_atom": -12.48,
  "lattice_angstrom": [[-4.9320, 2.6901, -0.4530], [0.5541, -2.0404, 5.2245], [4.2064, 3.5959, -1.0685]],
  "species": ["Mo", "Ta", "Ta", "Ta", "Ta", "Ta", "Ta", "Ta"],
  "frac_coords": [[0.0000, 0.0000, 0.0000], [0.0000, 0.0000, 0.5000], [0.5000, 0.5000, 0.5000], [0.5000, 0.5000, 0.0000], [0.5000, 0.0000, 0.0000], [0.5000, 0.0000, 0.5000], [0.0000, 0.5000, 0.5000], [0.0000, 0.5000, 0.0000]]
}

=====

Record 5
{
  "formula": "Be2AuCl",
  "functional": "PBEsol",
  "state": "relaxed",
  "magmom_total_mub_per_cell": 0.000,
  "e_form_raw_ev_per_atom": 0.96,
  "total_energy_ev_per_atom": -2.52,
  "lattice_angstrom": [[-3.9748, -1.8267, 0.6047], [-0.7613, -4.1318, -1.3603], [-0.5148, -3.2388, 2.9575]],
  "species": ["Be", "Be", "Au", "Cl"],
  "frac_coords": [[0.0000, 0.0000, 0.0000], [0.7500, 0.7500, 0.7500], [0.5000, 0.5000, 0.5000], [0.2500, 0.2500, 0.2500]]
}

=====

Record 6
{
  "formula": "HfPIr2",
  "functional": "PBEsol",
  "state": "relaxed",
  "magmom_total_mub_per_cell": 0.000,
  "formation_energy_ev_per_atom": -0.169,
  "total_energy_ev_per_atom": -9.15,
  "lattice_angstrom": [[5.3425, 0.0000, 0.0000], [0.0000, 5.3425, 0.0000], [-2.6713, -2.6713, 5.8487]],
  "species": ["P", "P", "Ir", "Ir", "Ir", "Ir", "Hf", "Hf"],
  "frac_coords": [[0.7500, 0.2500, 0.5000], [0.5000, 0.5000, 0.0000], [0.4328, 0.8750, 0.2500], [0.8172, 0.3750, 0.2500], [0.1250, 0.1828, 0.7500], [0.6250, 0.5672, 0.7500], [0.2500, 0.7500, 0.5000], [0.0000, 0.0000, 0.0000]]
}

=====

Record 7
{
  "formula": "LaBiOs2O",
  "functional": "PBEsol",
  "state": "relaxed",
  "magmom_total_mub_per_cell": 2.667,
  "e_form_raw_ev_per_atom": 2.15,
  "total_energy_ev_per_atom": -5.72,
  "lattice_angstrom": [[-1.9076, -2.6188, -3.6228], [-2.2102, -2.8712, 3.2393], [-4.9900, 3.7486, -0.0822]],
  "species": ["Os", "Os", "Bi", "O", "La"],
  "frac_coords": [[0.0000, 0.5000, 0.0000], [0.5000, 0.0000, 0.0000], [0.0000, 0.0000, 0.0000], [0.5000, 0.5000, 0.5000], [0.0000, 0.0000, 0.5000]]
}

=====

Record 8
{
  "formula": "Li4Mn2Fe3Co3O16",
  "functional": "PBEsol",
  "state": "relaxed",
  "magmom_total_mub_per_cell": 11.111,
  "e_form_raw_ev_per_atom": -1.51,
  "total_energy_ev_per_atom": -7.28,
  "lattice_angstrom": [[-1.9276, 2.9592, 4.3349], [-1.5164, -2.5751, 4.7262], [8.4283, 0.8502, 3.1645]],
  "species": ["Mn", "Mn", "Co", "Co", "Co", "Fe", "Fe", "Fe", "O", "O", "O", "O", "O", "O", "O", "O", "O", "O", "O", "O", "O", "O", "O", "O", "Li", "Li", "Li", "Li"],
  "frac_coords": [[0.3344, 0.3345, 0.4872], [0.6684, 0.6682, 0.9902], [0.6589, 0.1688, 0.2133], [0.1690, 0.6586, 0.2133], [0.8304, 0.8306, 0.7126], [0.1717, 0.1714, 0.2151], [0.8224, 0.3482, 0.7144], [0.3480, 0.8226, 0.7143], [0.6656, 0.1713, 0.5997], [0.4780, 0.4778, 0.3396], [0.3318, 0.3315, 0.1073], [0.0015, 0.0012, 0.3046], [0.0016, 0.0018, 0.8035], [0.1711, 0.6659, 0.5996], [0.4813, 0.0388, 0.3412], [0.0389, 0.4812, 0.3411], [0.8337, 0.8334, 0.0970], [0.1661, 0.1664, 0.6020], [0.9573, 0.5211, 0.8395], [0.5210, 0.9574, 0.8395], [0.6684, 0.6686, 0.6031], [0.8359, 0.3330, 0.1013], [0.5173, 0.5176, 0.8451], [0.3333, 0.8356, 0.1014], [0.3310, 0.3310, 0.8964], [0.9994, 0.9989, 0.9964], [0.9993, 0.9997, 0.4969], [0.6646, 0.6646, 0.3924]]
}